[1]
This record from Alexandria via LeMat-Bulk describes NaAlMoPt2 after structural relaxation. The functional is PBE-GGA.

POSCAR file:
```
NaAlMoPt2
1.0
4.835 0.000 0.000
0.000 4.835 0.000
0.000 0.000 5.292
Na Al Mo Pt
1 1 1 2
Direct
0.000 0.000 0.000
0.500 0.500 0.000
0.000 0.000 0.500
0.000 0.500 0.500
0.500 0.000 0.500
```

Computed properties:
formation energy = 1082 meV/atom
crystal system = tetragonal
VASP energy = -0.3317 Ry/atom

---

[2]
This record from Alexandria via LeMat-Bulk describes TiInOsO6 after structural relaxation. The functional is PBE-GGA.

POSCAR file:
```
TiInOsO6
1.0
5.127 0.000 0.000
-2.563 4.440 0.000
0.000 0.000 9.399
Ti In Os O
2 2 2 12
Direct
0.333 0.667 0.250
0.667 0.333 0.750
0.000 0.000 0.000
0.000 0.000 0.500
0.333 0.667 0.750
0.667 0.333 0.250
0.001 0.353 0.136
0.001 0.647 0.364
0.353 0.001 0.636
0.353 0.353 0.364
0.353 0.353 0.864
0.353 0.999 0.136
0.647 0.001 0.864
0.647 0.647 0.136
0.647 0.647 0.636
0.647 0.999 0.364
0.999 0.353 0.636
0.999 0.647 0.864
```

Computed properties:
crystal system = trigonal
formation energy without anion corrections = -1.755 eV per atom
VASP energy = -0.5505 Ry/atom

---

[3]
This record from Alexandria via LeMat-Bulk describes ThGeI6 after structural relaxation. The functional is PBE-GGA.

POSCAR file:
```
ThGeI6
1.0
7.596 0.000 0.000
-3.798 6.578 0.000
0.000 0.000 13.924
Th Ge I
2 2 12
Direct
0.000 0.000 0.000
0.000 0.000 0.500
0.333 0.667 0.250
0.667 0.333 0.750
0.005 0.337 0.374
0.005 0.668 0.126
0.332 0.337 0.126
0.332 0.995 0.374
0.337 0.005 0.874
0.337 0.332 0.626
0.663 0.668 0.374
0.663 0.995 0.126
0.668 0.005 0.626
0.668 0.663 0.874
0.995 0.332 0.874
0.995 0.663 0.626
```

Computed properties:
crystal system = trigonal
formation energy without anion corrections = -0.823 eV per atom
VASP energy = -0.2565 Ry/atom
energy above the most stable polymorph in this dataset = 0.352 eV/f.u.

---

[4]
This record from Alexandria via LeMat-Bulk describes Li2Mg2SiPt4 after structural relaxation. The functional is PBE-GGA.

POSCAR file:
```
Li2Mg2SiPt4
1.0
-2.966 2.966 4.139
2.966 -2.966 4.139
2.966 2.966 -4.139
Li Mg Si Pt
2 2 1 4
Direct
0.209 0.209 0.000
0.791 0.791 0.000
0.250 0.750 0.500
0.750 0.250 0.500
0.500 0.500 0.000
0.231 0.231 0.462
0.231 0.769 0.000
0.769 0.231 0.000
0.769 0.769 0.538
```

Computed properties:
crystal system = tetragonal
formation energy without anion corrections = -0.634 eV per atom
VASP energy = -0.3455 Ry/atom

---

[5]
This record from Alexandria via LeMat-Bulk describes ScAs2Ir after structural relaxation. The functional is PBE-GGA.

POSCAR file:
```
ScAs2Ir
1.0
3.062 0.000 0.000
0.000 5.100 0.000
0.000 0.000 9.286
Sc As Ir
2 4 2
Direct
0.000 0.000 0.000
0.500 0.500 0.500
0.000 0.500 0.216
0.000 0.500 0.784
0.500 0.000 0.284
0.500 0.000 0.716
0.000 0.000 0.500
0.500 0.500 0.000
```

Computed properties:
formation energy = -314 meV/atom
crystal system = orthorhombic
VASP energy = -0.4731 Ry/atom
energy above the most stable polymorph in this dataset = 1.370 eV/f.u.

---

[6]
This record from Alexandria via LeMat-Bulk describes TiCrBr3 after structural relaxation. The functional is PBE-GGA.

POSCAR file:
```
TiCrBr3
1.0
5.205 0.000 0.000
0.000 5.205 0.000
0.000 0.000 5.205
Ti Cr Br
1 1 3
Direct
0.000 0.000 0.000
0.500 0.500 0.500
0.000 0.000 0.500
0.000 0.500 0.000
0.500 0.000 0.000
```

Computed properties:
crystal system = cubic
formation energy without anion corrections = -0.218 eV per atom
VASP energy = -0.3473 Ry/atom
energy above the most stable polymorph in this dataset = 0.000 eV/f.u.

---

[7]
This record from Alexandria via LeMat-Bulk describes LiNd5In3 after structural relaxation. The functional is PBE-GGA.

POSCAR file:
```
LiNd5In3
1.0
9.582 0.000 0.000
-4.791 8.298 0.000
0.000 0.000 6.816
Li Nd In
2 10 6
Direct
0.000 0.000 0.000
0.000 0.000 0.500
0.000 0.313 0.250
0.000 0.687 0.750
0.313 0.000 0.250
0.313 0.313 0.750
0.333 0.667 0.000
0.333 0.667 0.500
0.667 0.333 0.000
0.667 0.333 0.500
0.687 0.000 0.750
0.687 0.687 0.250
0.000 0.346 0.750
0.000 0.654 0.250
0.346 0.000 0.750
0.346 0.346 0.250
0.654 0.000 0.250
0.654 0.654 0.750
```

Computed properties:
formation energy = -328 meV/atom
crystal system = hexagonal
VASP energy = -0.3015 Ry/atom

---

[8]
This record from Alexandria via LeMat-Bulk describes AgB2Pd2 after structural relaxation. The functional is PBE-GGA.

POSCAR file:
```
AgB2Pd2
1.0
2.949 0.000 0.000
0.000 2.949 0.000
0.000 0.000 14.539
Ag B Pd
2 4 4
Direct
0.000 0.000 0.000
0.500 0.500 0.500
0.000 0.500 0.250
0.000 0.500 0.750
0.500 0.000 0.250
0.500 0.000 0.750
0.000 0.000 0.358
0.000 0.000 0.642
0.500 0.500 0.142
0.500 0.500 0.858
```

Computed properties:
formation energy = 99 meV/atom
crystal system = tetragonal
VASP energy = -0.3836 Ry/atom

---

[9]
This record from Alexandria via LeMat-Bulk describes Sm14DyCd after structural relaxation. The functional is PBE-GGA.

POSCAR file:
```
Sm14DyCd
1.0
10.190 0.000 0.000
0.000 5.062 5.064
0.000 -5.062 5.064
Sm Dy Cd
14 1 1
Direct
0.000 0.000 0.000
0.000 0.000 0.500
0.000 0.500 0.000
0.000 0.500 0.500
0.253 0.250 0.250
0.254 0.251 0.749
0.254 0.749 0.251
0.254 0.749 0.749
0.500 0.001 0.499
0.500 0.499 0.001
0.746 0.251 0.749
0.746 0.749 0.251
0.746 0.749 0.749
0.747 0.250 0.250
0.500 0.000 0.000
0.500 0.500 0.500
```

Computed properties:
formation energy = -8 meV/atom
crystal system = orthorhombic
VASP energy = -0.3295 Ry/atom

---

[10]
This record from Alexandria via LeMat-Bulk describes Nb3Pd2Ru3 after structural relaxation. The functional is PBE-GGA.

POSCAR file:
```
Nb3Pd2Ru3
1.0
3.920 0.000 0.000
0.000 3.966 0.000
0.000 0.000 8.082
Nb Pd Ru
3 2 3
Direct
0.000 0.000 0.000
0.000 0.500 0.271
0.000 0.500 0.729
0.500 0.000 0.256
0.500 0.000 0.744
0.000 0.000 0.500
0.500 0.500 0.000
0.500 0.500 0.500
```

Computed properties:
formation energy = -230 meV/atom
crystal system = orthorhombic
VASP energy = -0.6455 Ry/atom

---

[11]
This record from Alexandria via LeMat-Bulk describes LiAg2P2 after structural relaxation. The functional is PBE-GGA.

POSCAR file:
```
LiAg2P2
1.0
3.499 0.000 0.000
0.000 3.499 0.000
0.000 0.000 14.124
Li Ag P
2 4 4
Direct
0.000 0.000 0.000
0.500 0.500 0.500
0.000 0.000 0.404
0.000 0.000 0.596
0.500 0.500 0.096
0.500 0.500 0.904
0.000 0.500 0.250
0.000 0.500 0.750
0.500 0.000 0.250
0.500 0.000 0.750
```

Computed properties:
formation energy = 127 meV/atom
crystal system = tetragonal
VASP energy = -0.2617 Ry/atom
energy above the most stable polymorph in this dataset = 1.093 eV/f.u.

---

[12]
This record from Alexandria via LeMat-Bulk describes Ag2GeIF after structural relaxation. The functional is PBE-GGA.

POSCAR file:
```
Ag2GeIF
1.0
5.001 0.000 0.000
0.000 5.001 0.000
0.000 0.000 5.546
Ag Ge I F
2 1 1 1
Direct
0.000 0.500 0.000
0.500 0.000 0.000
0.000 0.000 0.000
0.000 0.000 0.500
0.500 0.500 0.500
```

Computed properties:
crystal system = tetragonal
formation energy without anion corrections = 0.184 eV per atom
VASP energy = -0.1885 Ry/atom

---

[13]
This record from Alexandria via LeMat-Bulk describes Li6LaTl4 after structural relaxation. The functional is PBE-GGA.

POSCAR file:
```
Li6LaTl4
1.0
7.784 0.000 0.000
-3.892 6.742 0.000
0.000 0.000 4.620
Li La Tl
6 1 4
Direct
0.204 0.409 0.000
0.204 0.796 0.000
0.245 0.122 0.500
0.591 0.796 0.000
0.878 0.122 0.500
0.878 0.755 0.500
0.667 0.333 0.000
0.000 0.000 0.000
0.056 0.528 0.500
0.472 0.528 0.500
0.472 0.944 0.500
```

Computed properties:
formation energy = -227 meV/atom
crystal system = hexagonal
VASP energy = -0.1896 Ry/atom

---

[14]
This record from Alexandria via LeMat-Bulk describes CsZnTc3 after structural relaxation. The functional is PBE-GGA.

POSCAR file:
```
CsZnTc3
1.0
4.917 0.000 0.000
0.000 4.917 0.000
0.000 0.000 4.917
Cs Zn Tc
1 1 3
Direct
0.000 0.000 0.000
0.500 0.500 0.500
0.000 0.000 0.500
0.000 0.500 0.000
0.500 0.000 0.000
```

Computed properties:
formation energy = 3085 meV/atom
crystal system = cubic
VASP energy = -0.2617 Ry/atom
energy above the most stable polymorph in this dataset = 5.293 eV/f.u.

---

[15]
This record from Alexandria via LeMat-Bulk describes Ce2InAg2 after structural relaxation. The functional is PBE-GGA.

POSCAR file:
```
Ce2InAg2
1.0
7.880 -2.915 0.000
7.880 2.915 0.000
-0.751 0.000 5.184
Ce In Ag
4 2 4
Direct
0.023 0.747 0.697
0.253 0.977 0.803
0.747 0.023 0.197
0.977 0.253 0.303
0.348 0.652 0.250
0.652 0.348 0.750
0.184 0.423 0.175
0.423 0.184 0.675
0.577 0.816 0.325
0.816 0.577 0.825
```

Computed properties:
formation energy = -193 meV/atom
crystal system = monoclinic
VASP energy = -0.3127 Ry/atom

---

[16]
This record from Alexandria via LeMat-Bulk describes Tl5Pb4 after structural relaxation. The functional is PBE-GGA.

POSCAR file:
```
Tl5Pb4
1.0
9.779 0.000 0.000
-4.889 8.469 0.000
0.000 0.000 6.843
Tl Pb
10 8
Direct
0.000 0.353 0.250
0.000 0.647 0.750
0.333 0.667 0.000
0.333 0.667 0.500
0.353 0.000 0.250
0.353 0.353 0.750
0.647 0.000 0.750
0.647 0.647 0.250
0.667 0.333 0.000
0.667 0.333 0.500
0.000 0.000 0.000
0.000 0.000 0.500
0.000 0.310 0.750
0.000 0.690 0.250
0.310 0.000 0.750
0.310 0.310 0.250
0.690 0.000 0.250
0.690 0.690 0.750
```

Computed properties:
formation energy = 51 meV/atom
crystal system = hexagonal
VASP energy = -0.2140 Ry/atom
energy above the most stable polymorph in this dataset = 0.520 eV/f.u.

---

[17]
This record from Alexandria via LeMat-Bulk describes Tb8SiBi2 after structural relaxation. The functional is PBE-GGA.

POSCAR file:
```
Tb8SiBi2
1.0
9.239 -2.451 0.000
9.239 2.451 0.000
-0.016 0.000 7.197
Tb Si Bi
8 1 2
Direct
0.016 0.016 0.236
0.217 0.217 0.361
0.349 0.349 0.931
0.406 0.406 0.453
0.594 0.594 0.547
0.651 0.651 0.069
0.783 0.783 0.639
0.984 0.984 0.764
0.500 0.500 0.000
0.173 0.173 0.800
0.827 0.827 0.200
```

Computed properties:
crystal system = monoclinic
formation energy without anion corrections = -0.380 eV per atom
VASP energy = -0.3635 Ry/atom

---

[18]
This record from Alexandria via LeMat-Bulk describes Li2CuHgF6 after structural relaxation. The functional is PBE-GGA.

POSCAR file:
```
Li2CuHgF6
1.0
5.375 0.000 0.000
0.000 5.416 0.000
-4.748 0.000 8.440
Li Cu Hg F
4 2 2 12
Direct
0.227 0.005 0.253
0.227 0.495 0.753
0.773 0.505 0.247
0.773 0.995 0.747
0.500 0.000 0.000
0.500 0.500 0.500
0.000 0.000 0.500
0.000 0.500 0.000
0.095 0.154 0.743
0.095 0.346 0.243
0.268 0.637 0.583
0.268 0.863 0.083
0.462 0.188 0.581
0.462 0.312 0.081
0.538 0.688 0.919
0.538 0.812 0.419
0.732 0.137 0.917
0.732 0.363 0.417
0.905 0.654 0.757
0.905 0.846 0.257
```

Computed properties:
crystal system = monoclinic
formation energy without anion corrections = -2.033 eV per atom
VASP energy = -0.2924 Ry/atom

---

[19]
This record from Alexandria via LeMat-Bulk describes ReGeBi2C after structural relaxation. The functional is PBE-GGA.

POSCAR file:
```
ReGeBi2C
1.0
5.675 0.000 0.000
0.000 5.675 0.000
0.000 0.000 3.554
Re Ge Bi C
1 1 2 1
Direct
0.000 0.000 0.000
0.500 0.500 0.500
0.000 0.500 0.500
0.500 0.000 0.500
0.500 0.500 0.000
```

Computed properties:
formation energy = 1856 meV/atom
crystal system = tetragonal
VASP energy = -0.3642 Ry/atom

---

[20]
This record from Alexandria via LeMat-Bulk describes NaGdCdPd after structural relaxation. The functional is PBE-GGA.

POSCAR file:
```
NaGdCdPd
1.0
7.041 0.000 0.000
0.000 7.041 0.000
0.000 0.000 7.041
Na Gd Cd Pd
4 4 4 4
Direct
0.000 0.000 0.000
0.000 0.500 0.500
0.500 0.000 0.500
0.500 0.500 0.000
0.250 0.250 0.750
0.250 0.750 0.250
0.750 0.250 0.250
0.750 0.750 0.750
0.250 0.250 0.250
0.250 0.750 0.750
0.750 0.250 0.750
0.750 0.750 0.250
0.000 0.000 0.500
0.000 0.500 0.000
0.500 0.000 0.000
0.500 0.500 0.500
```

Computed properties:
formation energy = -288 meV/atom
crystal system = cubic
VASP energy = -0.4164 Ry/atom

---

[21]
This record from Alexandria via LeMat-Bulk describes Si5Ir after structural relaxation. The functional is PBE-GGA.

POSCAR file:
```
Si5Ir
1.0
11.764 0.000 0.000
0.000 3.053 0.000
-2.492 0.000 5.117
Si Ir
10 2
Direct
0.000 0.000 0.000
0.068 0.500 0.530
0.186 0.000 0.910
0.319 0.000 0.668
0.401 0.500 0.285
0.500 0.500 0.000
0.568 0.000 0.530
0.686 0.500 0.910
0.819 0.500 0.668
0.901 0.000 0.285
0.197 0.500 0.284
0.697 0.000 0.284
```

Computed properties:
crystal system = monoclinic
formation energy without anion corrections = 0.062 eV per atom
VASP energy = -0.4361 Ry/atom
energy above the most stable polymorph in this dataset = 0.000 eV/f.u.

---

[22]
This record from Alexandria via LeMat-Bulk describes Rb2NbNiB after structural relaxation. The functional is PBE-GGA.

POSCAR file:
```
Rb2NbNiB
1.0
6.743 0.000 0.000
0.000 6.743 0.000
0.000 0.000 4.517
Rb Nb Ni B
2 1 1 1
Direct
0.000 0.500 0.000
0.500 0.000 0.000
0.000 0.000 0.000
0.000 0.000 0.500
0.500 0.500 0.500
```

Computed properties:
formation energy = 2017 meV/atom
crystal system = tetragonal
VASP energy = -0.2113 Ry/atom

---

[23]
This record from Alexandria via LeMat-Bulk describes KSrH2Cl after structural relaxation. The functional is PBE-GGA.

POSCAR file:
```
KSrH2Cl
1.0
4.732 0.000 0.000
0.000 4.732 0.000
0.000 0.000 5.823
K Sr H Cl
1 1 2 1
Direct
0.000 0.000 0.000
0.500 0.500 0.500
0.000 0.500 0.500
0.500 0.000 0.500
0.500 0.500 0.000
```

Computed properties:
crystal system = tetragonal
VASP energy = -0.2371 Ry/atom